Here is a geometry-optimized Ca3MgP structure from the Alexandria database. Energies are from PBE.

a b c (Å): 5.7333 6.9395 9.5009
angles (deg): 108.98 90.36 113.41
Element x y z (fractional)
Ca 0.1021 0.2040 0.2134
Ca 0.1586 0.3101 0.6528
Ca 0.3625 0.7306 0.0821
Ca 0.6375 0.2694 0.9179
Ca 0.8414 0.6899 0.3472
Ca 0.8979 0.7960 0.7866
Mg 0.3957 0.8010 0.5584
Mg 0.6043 0.1990 0.4416
P 0.1346 0.2624 0.9327
P 0.8654 0.7376 0.0673

Results
As for the formation enthalpy at 0 K: -0.525 eV per atom. Its space group is P-1 (2). The value obtained for the distance to the lowest polymorph of the same formula is 42 meV per atom.